No. 1
4
Lattice="3.519 0.015 0.000 -0.015 3.519 0.000 0.000 0.000 6.267" Properties=species:S:1:pos:R:3 comment="Mg2AgSe (PBE, optimized geometry)" m_tot_mub_per_fu=0.000 energy_ev_per_atom=-2.827 space_group=P4/mmm pbc="T T T"
Mg 0.000 0.000 6.262
Mg 0.000 0.000 3.138
Se 1.752 1.767 1.567
Ag 1.752 1.767 4.700

No. 2
18
Lattice="6.997 0.000 0.000 0.000 9.674 0.000 -3.498 0.000 7.763" Properties=species:S:1:pos:R:3 comment="Dy3Ho2In4 (PBE, optimized geometry)" m_tot_mub_per_fu=0.000 formation_energy_ev_per_fu=-2.17 space_group=Cmce pbc="T T T"
Dy 0.000 0.000 0.000
Dy 3.498 4.837 0.000
Dy 1.749 7.255 4.376
Dy 5.248 2.418 3.387
Dy 1.749 2.418 3.387
Dy -1.749 7.255 4.376
Ho 0.000 5.270 1.661
Ho 3.498 4.403 6.102
Ho 0.000 0.433 6.102
Ho 3.498 9.240 1.661
In 1.749 7.255 7.558
In 5.248 2.418 0.204
In 1.749 2.418 0.204
In -1.749 7.255 7.558
In 0.000 9.448 3.015
In 3.498 0.226 4.747
In 0.000 4.611 4.747
In 3.498 5.063 3.015

No. 3
4
Lattice="-1.793 -0.889 -1.789 1.959 -0.305 -1.810 1.112 -7.065 2.394" Properties=species:S:1:pos:R:3 comment="Cr2FeHg (PBE, optimized geometry)" m_tot_mub_per_fu=0.000 formation_energy_ev_per_fu=2.03 space_group=P4/mmm pbc="T T T"
Cr 0.048 -0.302 0.102
Cr 0.509 -3.231 1.095
Fe 0.361 -2.363 -1.201
Hg 0.917 -5.896 -0.004